First-principles (PBE) data for crystalline Sc2SO at its relaxed geometry, as listed in Alexandria.

Geometry as POSCAR:
```
Sc2SO
1.0
3.792 0.000 0.000
-1.896 3.284 0.000
0.000 0.000 19.553
Sc S O
6 3 3
Cartesian
0.000 0.000 1.883
0.000 0.000 17.670
0.000 2.189 11.152
0.000 2.189 14.919
1.896 1.095 4.635
1.896 1.095 8.401
0.000 0.000 9.777
0.000 2.189 3.259
1.896 1.095 16.294
0.000 0.000 0.000
0.000 2.189 13.035
1.896 1.095 6.518
```

Properties
Energy relative to the elements, uncorrected (eV per formula unit): -8.08
Total energy (eV per cell): -89.49